BeAg2Au: relaxed, GGA-PBE.

Computed properties:
Its space-group type is I-42d (122). The calculation puts the total energy at -2.949 eV/atom. For the formation energy, the calculation gives 227 meV per atom.

abc: 5.6559 5.6559 5.6559
angles: 102.27 102.27 125.10
Last column: nearest neighbours and their distance in Å.
Positions (direct):
Be  0.0000  0.0000  0.0000  4 Ag 2.34, 2 Au 2.61
Be  0.7500  0.2500  0.5000  4 Ag 2.34, 2 Au 2.61
Ag  0.0697  0.6250  0.9447  2 Be 2.34
Ag  0.3750  0.3197  0.4447  2 Be 2.34
Ag  0.6803  0.1250  0.0553  2 Be 2.34
Ag  0.8750  0.9303  0.5553  2 Be 2.34
Au  0.2500  0.7500  0.5000  2 Be 2.61, 4 Ag 2.88
Au  0.5000  0.5000  0.0000  2 Be 2.61, 4 Ag 2.88

***

AgH6IrPd: relaxed, GGA-PBE.

Computed properties:
Its space-group type is P1 (1). The calculation puts the total energy at -4.001 eV/atom.

abc: 3.9184 4.5450 5.1891
angles: 115.71 111.06 90.32
Last column: nearest neighbours and their distance in Å.
Positions (direct):
Ag  0.0000  0.0000  0.0000  4 H 2.06-2.17
H  0.0434  0.1303  0.6560  1 Ir 1.68, 1 H 1.86
H  0.0520  0.5507  0.6786  1 Ir 1.69, 1 H 1.86
H  0.4917  0.5060  0.5961  1 Ir 1.68
H  0.5092  0.0789  0.6189  1 Ir 1.68, 1 Pd 1.88
H  0.6919  0.8157  0.1644  1 Ir 1.73
H  0.6955  0.3485  0.1672  1 Ir 1.73, 1 Pd 1.93
Ir  0.4274  0.4311  0.8672  6 H 1.68-1.73
Pd  0.1269  0.7035  0.4107  6 H 1.88-1.95